[1]
# Pr7DySn4 GGA-PBE relaxed
data_Pr7DySn4
_symmetry_space_group_name_H-M 'C 1 2/m 1'
_symmetry_Int_Tables_number 12
_symmetry_space_group_name_Hall '-C 2y'
_cell_length_a 14.375
_cell_length_b 5.930
_cell_length_c 11.238
_cell_angle_alpha 90.00
_cell_angle_beta 125.00
_cell_angle_gamma 90.00
loop_
_atom_site_label
_atom_site_fract_x
_atom_site_fract_y
_atom_site_fract_z
_atom_site_occupancy
Pr1 0.000 0.000 0.000 1
Pr2 0.059 0.500 0.371 1
Pr3 0.189 0.000 0.617 1
Pr4 0.208 0.500 0.889 1
Dy1 0.000 0.500 0.000 1
Sn1 0.062 0.000 0.763 1
Sn2 0.197 0.000 0.328 1
# mass density: 6871 kg/m3
# VASP energy: -4.82 eV per atom
# ΔH_f (0 K): -0.31 eV/atom
# calculated volume: 32.7 Å³/atom

[2]
# PrDySn2 GGA-PBE relaxed
data_PrDySn2
_symmetry_space_group_name_H-M 'P 4/m m m'
_symmetry_Int_Tables_number 123
_symmetry_space_group_name_Hall '-P 4 2'
_cell_length_a 4.934
_cell_length_b 4.934
_cell_length_c 4.550
_cell_angle_alpha 90.00
_cell_angle_beta 90.00
_cell_angle_gamma 90.00
loop_
_atom_site_label
_atom_site_fract_x
_atom_site_fract_y
_atom_site_fract_z
_atom_site_occupancy
Pr1 0.000 0.000 0.000 1
Dy1 0.500 0.500 0.000 1
Sn1 0.000 0.500 0.500 1
# mass density: 8107 kg/m3
# VASP energy: -4.99 eV per atom
# ΔH_f (0 K): -0.64 eV/atom
# calculated volume: 27.7 Å³/atom

[3]
# Pr6DySn10 GGA-PBE relaxed
data_Pr6DySn10
_symmetry_space_group_name_H-M 'P -3 1 m'
_symmetry_Int_Tables_number 162
_symmetry_space_group_name_Hall '-P 3 2'
_cell_length_a 9.4624
_cell_length_b 9.4624
_cell_length_c 6.4653
_cell_angle_alpha 90.00
_cell_angle_beta 90.00
_cell_angle_gamma 120.00
loop_
_atom_site_label
_atom_site_fract_x
_atom_site_fract_y
_atom_site_fract_z
_atom_site_occupancy
Pr1 0.0000 0.3911 0.2672 1
Dy1 0.0000 0.0000 0.5000 1
Sn1 0.0000 0.2479 0.8175 1
Sn2 0.3333 0.6667 0.0000 1
Sn3 0.3333 0.6667 0.5000 1
# mass density: 7271 kg/m3
# VASP energy: -4.88 eV per atom
# ΔH_f (0 K): -0.57 eV/atom
# calculated volume: 29.5 Å³/atom

[4]
# Pr5DySn5 GGA-PBE relaxed
data_Pr5DySn5
_symmetry_space_group_name_H-M 'C 1 2/m 1'
_symmetry_Int_Tables_number 12
_symmetry_space_group_name_Hall '-C 2y'
_cell_length_a 14.688
_cell_length_b 6.371
_cell_length_c 8.653
_cell_angle_alpha 90.00
_cell_angle_beta 107.51
_cell_angle_gamma 90.00
loop_
_atom_site_label
_atom_site_fract_x
_atom_site_fract_y
_atom_site_fract_z
_atom_site_occupancy
Pr1 0.000 0.000 0.000 1
Pr2 0.166 0.500 0.331 1
Pr3 0.171 0.500 0.832 1
Dy1 0.000 0.000 0.500 1
Sn1 0.000 0.500 0.500 1
Sn2 0.162 0.000 0.337 1
Sn3 0.162 0.000 0.830 1
# mass density: 6282 kg/m3
# VASP energy: -4.89 eV per atom
# ΔH_f (0 K): -0.48 eV/atom
# calculated volume: 35.1 Å³/atom

[5]
# PrDySn2 GGA-PBE relaxed
data_PrDySn2
_symmetry_space_group_name_H-M 'R -3 m'
_symmetry_Int_Tables_number 166
_symmetry_space_group_name_Hall '-R 3 2"'
_cell_length_a 4.0915
_cell_length_b 4.0915
_cell_length_c 25.7426
_cell_angle_alpha 90.00
_cell_angle_beta 90.00
_cell_angle_gamma 120.00
loop_
_atom_site_label
_atom_site_fract_x
_atom_site_fract_y
_atom_site_fract_z
_atom_site_occupancy
Pr1 0.0000 0.0000 0.0000 1
Dy1 0.0000 0.0000 0.5000 1
Sn1 0.0000 0.0000 0.2470 1
# mass density: 7219 kg/m3
# VASP energy: -4.88 eV per atom
# ΔH_f (0 K): -0.53 eV/atom
# calculated volume: 31.1 Å³/atom

[6]
# PrDySn2 GGA-PBE relaxed
data_PrDySn2
_symmetry_space_group_name_H-M 'A m m 2'
_symmetry_Int_Tables_number 38
_symmetry_space_group_name_Hall 'A 2 -2'
_cell_length_a 4.368
_cell_length_b 4.606
_cell_length_c 11.632
_cell_angle_alpha 90.00
_cell_angle_beta 90.00
_cell_angle_gamma 90.00
loop_
_atom_site_label
_atom_site_fract_x
_atom_site_fract_y
_atom_site_fract_z
_atom_site_occupancy
Pr1 0.000 0.000 0.000 1
Dy1 0.500 0.000 0.730 1
Sn1 0.000 0.000 0.273 1
Sn2 0.500 0.000 0.455 1
# mass density: 7675 kg/m3
# VASP energy: -5.09 eV per atom
# ΔH_f (0 K): -0.75 eV/atom
# calculated volume: 29.3 Å³/atom

[7]
# Pr2DySn GGA-PBE relaxed
data_Pr2DySn
_symmetry_space_group_name_H-M 'F m -3 m'
_symmetry_Int_Tables_number 225
_symmetry_space_group_name_Hall '-F 4 2 3'
_cell_length_a 7.872
_cell_length_b 7.872
_cell_length_c 7.872
_cell_angle_alpha 90.00
_cell_angle_beta 90.00
_cell_angle_gamma 90.00
loop_
_atom_site_label
_atom_site_fract_x
_atom_site_fract_y
_atom_site_fract_z
_atom_site_occupancy
Pr1 0.250 0.250 0.250 1
Dy1 0.000 0.000 0.000 1
Sn1 0.000 0.000 0.500 1
# mass density: 7667 kg/m3
# VASP energy: -4.80 eV per atom
# energy above the most stable polymorph in this dataset: 16.6 kJ/mol of atoms
# ΔH_f (0 K): -0.26 eV/atom
# calculated volume: 30.5 Å³/atom

[8]
# Pr4DySn2 GGA-PBE relaxed
data_Pr4DySn2
_symmetry_space_group_name_H-M 'R -3 m'
_symmetry_Int_Tables_number 166
_symmetry_space_group_name_Hall '-R 3 2"'
_cell_length_a 5.5307
_cell_length_b 5.5307
_cell_length_c 28.3263
_cell_angle_alpha 90.00
_cell_angle_beta 90.00
_cell_angle_gamma 120.00
loop_
_atom_site_label
_atom_site_fract_x
_atom_site_fract_y
_atom_site_fract_z
_atom_site_occupancy
Pr1 0.0000 0.0000 0.1246 1
Pr2 0.0000 0.0000 0.2802 1
Dy1 0.0000 0.0000 0.5000 1
Sn1 0.0000 0.0000 0.3936 1
# mass density: 6397 kg/m3
# VASP energy: -4.80 eV per atom
# ΔH_f (0 K): -0.27 eV/atom
# calculated volume: 35.7 Å³/atom

[9]
# PrDy5Sn4 GGA-PBE relaxed
data_PrDy5Sn4
_symmetry_space_group_name_H-M 'C 1 2/m 1'
_symmetry_Int_Tables_number 12
_symmetry_space_group_name_Hall '-C 2y'
_cell_length_a 17.909
_cell_length_b 4.449
_cell_length_c 8.105
_cell_angle_alpha 90.00
_cell_angle_beta 102.72
_cell_angle_gamma 90.00
loop_
_atom_site_label
_atom_site_fract_x
_atom_site_fract_y
_atom_site_fract_z
_atom_site_occupancy
Pr1 0.000 0.000 0.000 1
Dy1 0.000 0.000 0.500 1
Dy2 0.139 0.500 0.723 1
Dy3 0.206 0.500 0.304 1
Sn1 0.037 0.500 0.285 1
Sn2 0.189 0.000 0.010 1
# mass density: 7530 kg/m3
# VASP energy: -4.79 eV per atom
# ΔH_f (0 K): -0.41 eV/atom
# calculated volume: 31.5 Å³/atom

[10]
# PrDySn2 GGA-PBE relaxed
data_PrDySn2
_symmetry_space_group_name_H-M 'P 4/m m m'
_symmetry_Int_Tables_number 123
_symmetry_space_group_name_Hall '-P 4 2'
_cell_length_a 3.517
_cell_length_b 3.517
_cell_length_c 8.990
_cell_angle_alpha 90.00
_cell_angle_beta 90.00
_cell_angle_gamma 90.00
loop_
_atom_site_label
_atom_site_fract_x
_atom_site_fract_y
_atom_site_fract_z
_atom_site_occupancy
Pr1 0.000 0.000 0.000 1
Dy1 0.000 0.000 0.500 1
Sn1 0.500 0.500 0.260 1
# mass density: 8074 kg/m3
# VASP energy: -5.00 eV per atom
# ΔH_f (0 K): -0.65 eV/atom
# calculated volume: 27.8 Å³/atom

[11]
# Pr2DySn GGA-PBE relaxed
data_Pr2DySn
_symmetry_space_group_name_H-M 'C m c m'
_symmetry_Int_Tables_number 63
_symmetry_space_group_name_Hall '-C 2c 2'
_cell_length_a 3.482
_cell_length_b 27.502
_cell_length_c 5.691
_cell_angle_alpha 90.00
_cell_angle_beta 90.00
_cell_angle_gamma 90.00
loop_
_atom_site_label
_atom_site_fract_x
_atom_site_fract_y
_atom_site_fract_z
_atom_site_occupancy
Pr1 0.000 0.094 0.250 1
Pr2 0.000 0.189 0.750 1
Dy1 0.000 0.028 0.750 1
Sn1 0.000 0.305 0.750 1
# mass density: 6863 kg/m3
# VASP energy: -4.61 eV per atom
# energy above the most stable polymorph in this dataset: 35.5 kJ/mol of atoms
# ΔH_f (0 K): -0.07 eV/atom
# calculated volume: 34.1 Å³/atom

[12]
# PrDy4Sn4 GGA-PBE relaxed
data_PrDy4Sn4
_symmetry_space_group_name_H-M 'P 42/n'
_symmetry_Int_Tables_number 86
_cell_length_a 9.913
_cell_length_b 9.913
_cell_length_c 6.136
_cell_angle_alpha 90.00
_cell_angle_beta 90.00
_cell_angle_gamma 90.00
loop_
_symmetry_equiv_pos_as_xyz
'x,y,z'
'-x,-y,-z'
'-y,x+1/2,z+1/2'
'y,-x+1/2,-z+1/2'
'-x+1/2,-y+1/2,z'
'x+1/2,y+1/2,-z'
'y+1/2,-x,z+1/2'
'-y+1/2,x,-z+1/2'
loop_
_atom_site_label
_atom_site_fract_x
_atom_site_fract_y
_atom_site_fract_z
_atom_site_occupancy
Pr1 0.250 0.250 0.250 1
Dy1 0.097 0.646 0.142 1
Sn1 0.039 0.610 0.652 1
# mass density: 6970 kg/m3
# VASP energy: -4.79 eV per atom
# ΔH_f (0 K): -0.43 eV/atom
# calculated volume: 33.5 Å³/atom